(1)
Density functional theory data (PBE-GGA) for crystalline TaAlCuCl2 at its relaxed geometry.

Computed properties:
E_form (uncorrected) (eV per atom): 0.806

Unit cell a=4.4577 b=4.4577 c=5.7818 alpha=90.00 beta=90.00 gamma=90.00
Space group P4/mmm (No. 123)
Symmetry-distinct sites (fractional):
1 Ta 0.0000 0.0000 0.0000 [1 per cell]
2 Al 0.0000 0.0000 0.5000 [1 per cell]
3 Cu 0.5000 0.5000 0.0000 [1 per cell]
4 Cl 0.0000 0.5000 0.5000 [2 per cell]

---

(2)
Density functional theory data (PBE-GGA) for crystalline AlTl2CuCl6 at its relaxed geometry.

Computed properties:
E_form (uncorrected) (eV per atom): -1.078

Unit cell a=7.0648 b=7.0648 c=6.1521 alpha=90.00 beta=90.00 gamma=120.00
Space group P-3m1 (No. 164)
Symmetry-distinct sites (fractional):
1 Al 0.0000 0.0000 0.0000 [1 per cell]
2 Tl 0.3333 0.6667 0.8213 [2 per cell]
3 Cu 0.0000 0.0000 0.5000 [1 per cell]
4 Cl 0.1551 0.3103 0.2250 [6 per cell]

---

(3)
Density functional theory data (PBE-GGA) for crystalline Al2TlCuCl8 at its relaxed geometry.

Computed properties:
E_form (uncorrected) (eV per atom): -1.230

Unit cell a=7.0146 b=7.0146 c=8.6946 alpha=90.00 beta=90.00 gamma=120.00
Space group P-3m1 (No. 164)
Symmetry-distinct sites (fractional):
1 Al 0.3333 0.6667 0.2341 [2 per cell]
2 Tl 0.0000 0.0000 0.0000 [1 per cell]
3 Cu 0.0000 0.0000 0.5000 [1 per cell]
4 Cl 0.1642 0.3285 0.3154 [6 per cell]
5 Cl 0.3333 0.6667 0.9881 [2 per cell]

---

(4)
Density functional theory data (PBE-GGA) for crystalline AlTlCuCl6 at its relaxed geometry.

Computed properties:
E_form (uncorrected) (eV per atom): -1.051

Unit cell a=6.1935 b=6.1958 c=7.1178 alpha=92.48 beta=92.55 gamma=114.50
Space group P1 (No. 1)
Symmetry-distinct sites (fractional):
1 Al 0.0000 0.0000 0.0000 [1 per cell]
2 Tl 0.3390 0.6616 0.5004 [1 per cell]
3 Cu 0.6564 0.3427 0.0009 [1 per cell]
4 Cl 0.2889 0.0200 0.2140 [1 per cell]
5 Cl 0.3058 0.2996 0.8378 [1 per cell]
6 Cl 0.7013 0.6943 0.1629 [1 per cell]
7 Cl 0.7096 0.0641 0.8047 [1 per cell]
8 Cl 0.9363 0.2900 0.1960 [1 per cell]
9 Cl 0.9799 0.7120 0.7855 [1 per cell]

---

(5)
Density functional theory data (PBE-GGA) for crystalline Y2AlCuCl at its relaxed geometry.

Computed properties:
E_form (uncorrected) (eV per atom): 0.395

Unit cell a=5.6197 b=5.6197 c=4.8254 alpha=90.00 beta=90.00 gamma=90.00
Space group P4/mmm (No. 123)
Symmetry-distinct sites (fractional):
1 Y 0.0000 0.5000 0.0000 [2 per cell]
2 Al 0.0000 0.0000 0.0000 [1 per cell]
3 Cu 0.5000 0.5000 0.5000 [1 per cell]
4 Cl 0.0000 0.0000 0.5000 [1 per cell]

---

(6)
Density functional theory data (PBE-GGA) for crystalline Zr2AlCuCl at its relaxed geometry.

Computed properties:
E_form (uncorrected) (eV per atom): 0.150

Unit cell a=4.8043 b=4.8043 c=4.3205 alpha=90.00 beta=90.00 gamma=90.00
Space group P4/mmm (No. 123)
Symmetry-distinct sites (fractional):
1 Zr 0.0000 0.5000 0.0000 [2 per cell]
2 Al 0.0000 0.0000 0.5000 [1 per cell]
3 Cu 0.5000 0.5000 0.5000 [1 per cell]
4 Cl 0.5000 0.5000 0.0000 [1 per cell]

---

(7)
Density functional theory data (PBE-GGA) for crystalline Dy2AlCl at its relaxed geometry.

Computed properties:
Offset from the most stable computed form (eV per atom): 0.4413
E_form (uncorrected) (eV per atom): -0.335

Unit cell a=3.3839 b=3.3839 c=31.5757 alpha=90.00 beta=90.00 gamma=120.00
Space group R-3m (No. 166, hexagonal axes)
Symmetry-distinct sites (fractional):
1 Dy 0.0000 0.0000 0.0961 [6 per cell]
2 Al 0.0000 0.0000 0.0000 [3 per cell]
3 Cl 0.0000 0.0000 0.5000 [3 per cell]

---

(8)
Density functional theory data (PBE-GGA) for crystalline Dy2AlCl at its relaxed geometry.

Computed properties:
Offset from the most stable computed form (eV per atom): 0.0000
E_form (uncorrected) (eV per atom): -0.776

Unit cell a=3.5890 b=3.5890 c=25.9420 alpha=90.00 beta=90.00 gamma=120.00
Space group R3m (No. 160, hexagonal axes)
Symmetry-distinct sites (fractional):
1 Dy 0.0000 0.0000 0.0000 [3 per cell]
2 Dy 0.0000 0.0000 0.1672 [3 per cell]
3 Al 0.0000 0.0000 0.5837 [3 per cell]
4 Cl 0.0000 0.0000 0.4149 [3 per cell]